This record from Alexandria describes crystalline NdY14Sc at its relaxed geometry. The functional is PBE-GGA.

Cell: 7.125 7.125 10.036 Å, 90.00 90.00 90.00°
Atoms (fractional coordinates):
Nd (0.000, 0.000, 0.000)
Y (0.000, 0.000, 0.500)
Y (0.000, 0.500, 0.000)
Y (0.000, 0.500, 0.500)
Y (0.252, 0.252, 0.248)
Y (0.252, 0.252, 0.752)
Y (0.252, 0.748, 0.248)
Y (0.252, 0.748, 0.752)
Y (0.500, 0.000, 0.000)
Y (0.500, 0.000, 0.500)
Y (0.500, 0.500, 0.500)
Y (0.748, 0.252, 0.248)
Y (0.748, 0.252, 0.752)
Y (0.748, 0.748, 0.248)
Y (0.748, 0.748, 0.752)
Sc (0.500, 0.500, 0.000)

Computed properties:
* total DFT energy (no corrections): -0.2323 hartree per atom
* space group: P4/mmm (123)
* DFT formation energy: 0.469 eV per formula unit
* crystal system: tetragonal